# 1
The following is a PBE calculation of a relaxed structure of BSeN2Cl, from Alexandria.

The value obtained for the uncorrected formation energy is 1.3770 eV per atom. For the total moment, the calculation gives 0.037 μB/atom. Its relative energy among the computed polymorphs is 0.000 eV per atom. Its crystal system is tetragonal.

It has space group P4/mmm (No. 123), with a = 3.3157 Å, b = 3.3157 Å, c = 7.3525 Å, α = 90.00°, β = 90.00° and γ = 90.00°. The asymmetric unit holds B at (0.0000, 0.0000, 0.0000), Se at (0.0000, 0.0000, 0.5000), N at (0.0000, 0.5000, 0.0000) and Cl at (0.5000, 0.5000, 0.5000).

# 2
The following is a PBE calculation of a relaxed structure of Th3OsBr3, from Alexandria.

The value obtained for the uncorrected formation energy is -1.0731 eV per atom. For the total moment, the calculation gives 0.000 μB/atom. Its crystal system is monoclinic.

It has space group P2_1/m (No. 11), with a = 9.2728 Å, b = 3.9879 Å, c = 12.0146 Å, α = 90.00°, β = 92.64° and γ = 90.00°. The asymmetric unit holds Th at (0.0766, 0.2500, 0.1198), Th at (0.0964, 0.2500, 0.6128), Th at (0.3121, 0.7500, 0.3609), Os at (0.1102, 0.2500, 0.3629), Br at (0.1841, 0.2500, 0.8728), Br at (0.3390, 0.7500, 0.1147) and Br at (0.3959, 0.7500, 0.6194).

# 3
The following is a PBE calculation of a relaxed structure of Th2RuC, from Alexandria.

For the total moment, the calculation gives 0.000 μB/atom. Its relative energy among the computed polymorphs is 0.000 eV per atom. Its crystal system is orthorhombic. The formation energy comes out at -152 kJ/mol of formula units.

It has space group Cmcm (No. 63), with a = 3.8593 Å, b = 22.2553 Å, c = 3.8997 Å, α = 90.00°, β = 90.00° and γ = 90.00°. The asymmetric unit holds Th at (0.0000, 0.0744, 0.2500), Th at (0.0000, 0.3072, 0.2500), Ru at (0.0000, 0.4495, 0.2500) and C at (0.0000, 0.1950, 0.2500).

# 4
The following is a PBE calculation of a relaxed structure of Zr2GePd, from Alexandria.

For the total moment, the calculation gives 0.000 μB/atom. Its crystal system is tetragonal. The formation energy comes out at -123 kJ/mol of formula units.

It has space group I-42d (No. 122), with a = 7.4382 Å, b = 7.4382 Å, c = 5.8428 Å, α = 90.00°, β = 90.00° and γ = 90.00°. The asymmetric unit holds Zr at (0.2470, 0.2500, 0.1250), Ge at (0.0000, 0.0000, 0.5000) and Pd at (0.0000, 0.0000, 0.0000).

# 5
The following is a PBE calculation of a relaxed structure of Tb2Pr3Er8, from Alexandria.

For the total moment, the calculation gives 0.000 μB/atom. Its relative energy among the computed polymorphs is 0.165 eV per atom. Its crystal system is monoclinic. The formation energy comes out at 321 kJ/mol of formula units.

It has space group C2/m (No. 12), with a = 20.1048 Å, b = 7.7092 Å, c = 5.6192 Å, α = 90.00°, β = 90.06° and γ = 90.00°. The asymmetric unit holds Tb at (0.2411, 0.0000, 0.4986), Pr at (0.0000, 0.0000, 0.5000), Pr at (0.0000, 0.2933, 0.0000), Er at (0.1099, 0.2914, 0.5004), Er at (0.1355, 0.0000, 0.9995) and Er at (0.1713, 0.5000, 0.0012).

# 6
The following is a PBE calculation of a relaxed structure of CeSmCo, from Alexandria.

For the total moment, the calculation gives 0.000 μB/atom. Its relative energy among the computed polymorphs is 0.114 eV per atom. Its crystal system is tetragonal. The formation energy comes out at -6 kJ/mol of formula units.

It has space group I4mm (No. 107), with a = 3.4339 Å, b = 3.4339 Å, c = 11.7892 Å, α = 90.00°, β = 90.00° and γ = 90.00°. The asymmetric unit holds Ce at (0.0000, 0.0000, 0.0000), Sm at (0.0000, 0.0000, 0.2716) and Co at (0.0000, 0.0000, 0.6063).

# 7
The following is a PBE calculation of a relaxed structure of TiAl5Ru6, from Alexandria.

For the total moment, the calculation gives 0.000 μB/atom. Its crystal system is orthorhombic. The formation energy comes out at -818 kJ/mol of formula units.

It has space group Cmmm (No. 65), with a = 4.2729 Å, b = 12.7920 Å, c = 6.0379 Å, α = 90.00°, β = 90.00° and γ = 90.00°. The asymmetric unit holds Ti at (0.0000, 0.0000, 0.0000), Al at (0.0000, 0.0000, 0.5000), Al at (0.0000, 0.3341, 0.5000), Al at (0.0000, 0.3351, 0.0000), Ru at (0.0000, 0.1684, 0.2514) and Ru at (0.0000, 0.5000, 0.2540).

# 8
The following is a PBE calculation of a relaxed structure of TbPr3Sc3, from Alexandria.

For the total moment, the calculation gives 0.000 μB/atom. Its crystal system is trigonal. The formation energy comes out at 121 kJ/mol of formula units.

It has space group R-3 (No. 148, hexagonal axes), with a = 8.4513 Å, b = 8.4513 Å, c = 21.4671 Å, α = 90.00°, β = 90.00° and γ = 120.00°. The asymmetric unit holds Tb at (0.0000, 0.0000, 0.1567), Pr at (0.0430, 0.5956, 0.3825) and Sc at (0.0050, 0.7805, 0.5555).

# 9
The following is a PBE calculation of a relaxed structure of Cd2Cu, from Alexandria.

For the total moment, the calculation gives 0.000 μB/atom. Its crystal system is trigonal. The formation energy comes out at 33 kJ/mol of formula units.

It has space group P-3m1 (No. 164), with a = 4.6443 Å, b = 4.6443 Å, c = 2.9457 Å, α = 90.00°, β = 90.00° and γ = 120.00°. The asymmetric unit holds Cd at (0.3333, 0.6667, 0.2192) and Cu at (0.0000, 0.0000, 0.5000).

# 10
The following is a PBE calculation of a relaxed structure of Nd2Zn4InGa3, from Alexandria.

For the total moment, the calculation gives 0.000 μB/atom. Its crystal system is tetragonal. The formation energy comes out at -429 kJ/mol of formula units.

It has space group P-4m2 (No. 115), with a = 4.3021 Å, b = 4.3021 Å, c = 10.8796 Å, α = 90.00°, β = 90.00° and γ = 90.00°. The asymmetric unit holds Nd at (0.0000, 0.5000, 0.2393), Zn at (0.0000, 0.0000, 0.0000), Zn at (0.0000, 0.5000, 0.6479), Zn at (0.5000, 0.5000, 0.0000), In at (0.0000, 0.0000, 0.5000), Ga at (0.0000, 0.5000, 0.8706) and Ga at (0.5000, 0.5000, 0.5000).

# 11
The following is a PBE calculation of a relaxed structure of DyY2ThSc4, from Alexandria.

For the total moment, the calculation gives 0.000 μB/atom. Its crystal system is tetragonal. The formation energy comes out at 36 kJ/mol of formula units.

It has space group P4/mmm (No. 123), with a = 4.9656 Å, b = 4.9656 Å, c = 9.1297 Å, α = 90.00°, β = 90.00° and γ = 90.00°. The asymmetric unit holds Dy at (0.0000, 0.0000, 0.0000), Y at (0.0000, 0.0000, 0.5000), Y at (0.5000, 0.5000, 0.0000), Th at (0.5000, 0.5000, 0.5000) and Sc at (0.0000, 0.5000, 0.2524).

# 12
The following is a PBE calculation of a relaxed structure of Sc4BePt, from Alexandria.

For the total moment, the calculation gives 0.000 μB/atom. Its crystal system is cubic. The formation energy comes out at 207 kJ/mol of formula units.

It has space group F-43m (No. 216), with a = 7.7647 Å, b = 7.7647 Å, c = 7.7647 Å, α = 90.00°, β = 90.00° and γ = 90.00°. The asymmetric unit holds Sc at (0.1243, 0.1243, 0.3757), Be at (0.0000, 0.0000, 0.0000) and Pt at (0.2500, 0.2500, 0.7500).